Record 1
DFT (PBE) results for a relaxed RbCaN3 crystal.

a = 4.733 Å, b = 4.733 Å, c = 4.733 Å
α = 90.00°, β = 90.00°, γ = 90.00°
Last column: magnetic moment on the atom in μB.
Fractional positions:
Ca (0.000, 0.000, 0.000)  0.03
Rb (0.500, 0.500, 0.500)  0.02
N (0.000, 0.500, 0.000)  1.24
N (0.000, 0.000, 0.500)  1.53
N (0.500, 0.000, 0.000)  1.08

Output
Space group: Pm-3m, No. 221
N(E_F) in states/eV/atom: 1.41


Record 2
DFT (PBE) results for a relaxed RbCaN2 crystal.

a = 8.406 Å, b = 8.406 Å, c = 8.406 Å
α = 28.63°, β = 28.63°, γ = 28.63°
Last column: magnetic moment on the atom in μB.
Fractional positions:
Ca (0.000, 0.000, 0.000)  -0.03
Rb (0.500, 0.500, 0.500)  0.03
N (0.910, 0.910, 0.910)  1.09
N (0.090, 0.090, 0.090)  1.09

Output
Space group: R-3m, No. 166
N(E_F) in states/eV/atom: 0.42
Energy relative to the lowest polymorph listed for this composition in meV/atom: 366


Formation energy without anion corrections readings, ordered: 1.4183, 1.2672 eV/atom
Total energy readings, ordered: -20.85, -14.55 eV per cell